Run P
Computed, not measured: YHo6Se8 after structural relaxation at the PBE-GGA level of DFT.

abc: 7.9509 7.9509 7.9509
angles: 95.73 95.73 95.73
Each line ends with the local moment (μB).
Element x y z (fractional)
Se (0.1442, 0.6896, 0.3919)  0.00
Se (0.2256, 0.2256, 0.2256)  -0.01
Se (0.3919, 0.1442, 0.6896)  0.00
Ho (0.1927, 0.3836, 0.5576)  0.14
Se (0.7744, 0.7744, 0.7744)  -0.01
Se (0.6896, 0.3919, 0.1442)  0.00
Ho (0.4424, 0.8073, 0.6164)  0.14
Ho (0.6164, 0.4424, 0.8073)  0.14
Se (0.8558, 0.3104, 0.6081)  0.00
Ho (0.5576, 0.1927, 0.3836)  0.14
Se (0.6081, 0.8558, 0.3104)  0.00
Y (0.0000, 0.0000, 0.0000)  0.56
Ho (0.3836, 0.5576, 0.1927)  0.14
Ho (0.8073, 0.6164, 0.4424)  0.14
Se (0.3104, 0.6081, 0.8558)  0.00

Results
- spin magnetization (μB per atom) = 0.1724

---

Run Q
Computed, not measured: YHo6Se8 after structural relaxation at the PBE-GGA level of DFT.

abc: 8.0848 8.0848 8.0848
angles: 60.00 60.00 60.00
Element x y z (fractional)
Ho (0.0000, 0.5000, 0.0000)
Se (0.2547, 0.7453, 0.2547)
Se (0.7500, 0.7500, 0.7500)
Ho (0.5000, 0.0000, 0.0000)
Se (0.2547, 0.2547, 0.7453)
Ho (0.0000, 0.0000, 0.5000)
Se (0.7453, 0.2547, 0.2547)
Y (0.0000, 0.0000, 0.0000)
Se (0.2500, 0.2500, 0.2500)
Ho (0.5000, 0.0000, 0.5000)
Ho (0.5000, 0.5000, 0.0000)
Ho (0.0000, 0.5000, 0.5000)
Se (0.2547, 0.7453, 0.7453)
Se (0.7453, 0.2547, 0.7453)
Se (0.7453, 0.7453, 0.2547)

Results
- spin magnetization (μB per atom) = 0.0000

---

The structure with the greatest stability is run Q.

---

Run P
Computed, not measured: Y3Ho2Se6 after structural relaxation at the PBE-GGA level of DFT.

abc: 4.1036 4.1036 20.3026
angles: 84.20 84.20 60.00
Element x y z (fractional)
Y (0.2793, 0.2793, 0.1621)
Se (0.6393, 0.6393, 0.0820)
Se (0.1970, 0.1970, 0.4090)
Ho (0.5533, 0.5533, 0.3400)
Se (0.0827, 0.0827, 0.7519)
Y (0.7207, 0.7207, 0.8379)
Se (0.8030, 0.8030, 0.5910)
Se (0.9173, 0.9173, 0.2481)
Se (0.3607, 0.3607, 0.9180)
Ho (0.4467, 0.4467, 0.6600)
Y (0.0000, 0.0000, 0.0000)

Results
- spin magnetization (μB per atom) = 0.0000

---

Run Q
Computed, not measured: Y3Ho2Se6 after structural relaxation at the PBE-GGA level of DFT.

abc: 7.0399 7.0164 7.0096
angles: 80.35 70.49 59.89
Element x y z (fractional)
Se (0.5815, 0.3297, 0.2548)
Se (0.4185, 0.6703, 0.7452)
Y (0.6650, 0.6699, 0.0000)
Se (0.9112, 0.6703, 0.2548)
Y (0.0000, 0.0000, 0.0000)
Se (0.7470, 0.0000, 0.7419)
Se (0.2530, 0.0000, 0.2581)
Ho (0.8348, 0.3304, 0.5000)
Se (0.0888, 0.3297, 0.7452)
Y (0.3350, 0.3301, 0.0000)
Ho (0.1652, 0.6696, 0.5000)

Results
- spin magnetization (μB per atom) = 0.0000

---

The structure with the greatest stability is run Q.

---

Run P
Computed, not measured: Y6HoSe8 after structural relaxation at the PBE-GGA level of DFT.

abc: 8.1395 8.1395 8.1395
angles: 60.00 60.00 60.00
Element x y z (fractional)
Se (0.7500, 0.7500, 0.7500)
Ho (0.0000, 0.0000, 0.0000)
Y (0.5000, 0.0000, 0.5000)
Y (0.5000, 0.5000, 0.0000)
Se (0.2521, 0.2521, 0.7479)
Se (0.2521, 0.7479, 0.7479)
Y (0.5000, 0.0000, 0.0000)
Se (0.7479, 0.2521, 0.2521)
Se (0.7479, 0.7479, 0.2521)
Y (0.0000, 0.5000, 0.0000)
Y (0.0000, 0.5000, 0.5000)
Se (0.2500, 0.2500, 0.2500)
Se (0.2521, 0.7479, 0.2521)
Y (0.0000, 0.0000, 0.5000)
Se (0.7479, 0.2521, 0.7479)

Results
- spin magnetization (μB per atom) = 0.0000

---

Run Q
Computed, not measured: Y6HoSe8 after structural relaxation at the PBE-GGA level of DFT.

abc: 8.0763 8.0763 8.0763
angles: 96.33 96.33 96.33
Element x y z (fractional)
Se (0.4037, 0.1475, 0.6796)
Y (0.3751, 0.5573, 0.1915)
Se (0.1475, 0.6796, 0.4037)
Y (0.1915, 0.3751, 0.5573)
Y (0.4427, 0.8085, 0.6249)
Se (0.5963, 0.8525, 0.3204)
Y (0.6249, 0.4427, 0.8085)
Se (0.7758, 0.7758, 0.7758)
Se (0.6796, 0.4037, 0.1475)
Ho (0.0000, 0.0000, 0.0000)
Y (0.8085, 0.6249, 0.4427)
Se (0.3204, 0.5963, 0.8525)
Se (0.8525, 0.3204, 0.5963)
Se (0.2242, 0.2242, 0.2242)
Y (0.5573, 0.1915, 0.3751)

Results
- spin magnetization (μB per atom) = 0.0000

---

The structure with the greatest stability is run P.

---

Run P
Computed, not measured: Y3HoSe4 after structural relaxation at the PBE-GGA level of DFT.

abc: 5.7698 5.7698 5.7698
angles: 90.00 90.00 90.00
Element x y z (fractional)
Se (0.0000, 0.5000, 0.0000)
Ho (0.0000, 0.0000, 0.0000)
Y (0.5000, 0.5000, 0.0000)
Se (0.5000, 0.5000, 0.5000)
Se (0.5000, 0.0000, 0.0000)
Y (0.5000, 0.0000, 0.5000)
Y (0.0000, 0.5000, 0.5000)
Se (0.0000, 0.0000, 0.5000)

Results
- spin magnetization (μB per atom) = 0.0001

---

Run Q
Computed, not measured: Y3HoSe4 after structural relaxation at the PBE-GGA level of DFT.

abc: 7.0898 7.0930 8.0840
angles: 90.00 90.00 109.30
Element x y z (fractional)
Se (0.9988, 0.2489, 0.6261)
Se (0.0012, 0.7511, 0.3739)
Se (0.4988, 0.2489, 0.3739)
Se (0.5012, 0.7511, 0.6261)
Y (0.2500, 0.5000, 0.8744)
Y (0.2500, 0.0000, 0.6248)
Y (0.7500, 0.5000, 0.1256)
Y (0.7500, 0.0000, 0.3752)
Y (0.7500, 0.5000, 0.6245)
Se (0.9998, 0.7521, 0.8762)
Se (0.4998, 0.7521, 0.1238)
Ho (0.7500, 0.0000, 0.8746)
Y (0.2500, 0.5000, 0.3755)
Se (0.0002, 0.2479, 0.1238)
Se (0.5002, 0.2479, 0.8762)
Ho (0.2500, 0.0000, 0.1254)

Results
- spin magnetization (μB per atom) = 0.0000

---

The structure with the greatest stability is run Q.

---

Run P
Computed, not measured: Ho2ZnSe after structural relaxation at the PBE-GGA level of DFT.

abc: 3.8371 3.8371 8.0206
angles: 76.16 76.16 60.00
Element x y z (fractional)
Zn (0.6674, 0.6674, 0.9978)
Se (0.4990, 0.4990, 0.5029)
Ho (0.0838, 0.0838, 0.7486)
Ho (0.2497, 0.2497, 0.2508)

Results
- spin magnetization (μB per atom) = 0.0000

---

Run Q
Computed, not measured: Ho2ZnSe after structural relaxation at the PBE-GGA level of DFT.

abc: 4.1749 3.9942 11.4830
angles: 100.02 90.00 90.00
Element x y z (fractional)
Ho (0.2500, 0.3208, 0.6416)
Ho (0.7500, 0.6792, 0.3584)
Ho (0.2500, 0.0683, 0.1366)
Se (0.7500, 0.8060, 0.6120)
Se (0.2500, 0.1940, 0.3880)
Zn (0.2500, 0.4608, 0.9217)
Zn (0.7500, 0.5392, 0.0783)
Ho (0.7500, 0.9317, 0.8634)

Results
- spin magnetization (μB per atom) = 0.0000

---

The structure with the greatest stability is run Q.

---

Run P
Computed, not measured: HoZrSe2 after structural relaxation at the PBE-GGA level of DFT.

abc: 3.7400 3.7400 9.2120
angles: 78.29 78.29 60.00
Element x y z (fractional)
Zr (0.5000, 0.5000, 0.5000)
Ho (0.0000, 0.0000, 0.0000)
Se (0.8954, 0.8954, 0.3137)
Se (0.1046, 0.1046, 0.6863)

Results
- spin magnetization (μB per atom) = 0.0000

---

Run Q
Computed, not measured: HoZrSe2 after structural relaxation at the PBE-GGA level of DFT.

abc: 3.7764 3.7764 7.5100
angles: 75.44 75.44 60.00
Element x y z (fractional)
Se (0.0798, 0.0798, 0.7607)
Ho (0.4980, 0.4980, 0.5060)
Zr (0.6685, 0.6685, 0.9944)
Se (0.2537, 0.2537, 0.2389)

Results
- spin magnetization (μB per atom) = 0.0000

---

The structure with the greatest stability is run Q.

---

Run P
Computed, not measured: SmHoZnSi after structural relaxation at the PBE-GGA level of DFT.

abc: 5.0189 5.0189 5.0189
angles: 60.00 60.00 60.00
Element x y z (fractional)
Sm (0.0000, 0.0000, 0.0000)
Ho (0.5000, 0.5000, 0.5000)
Si (0.7500, 0.7500, 0.7500)
Zn (0.2500, 0.2500, 0.2500)

Results
- spin magnetization (μB per atom) = 0.0000

---

Run Q
Computed, not measured: SmHoZnSi after structural relaxation at the PBE-GGA level of DFT.

abc: 4.2053 4.0711 5.8775
angles: 90.00 110.96 90.00
Each line ends with the local moment (μB).
Element x y z (fractional)
Ho (0.8607, 0.5000, 0.7214)  0.06
Si (0.4266, 0.0000, 0.8531)  0.00
Zn (0.5676, 0.5000, 0.1352)  0.00
Sm (0.1451, 0.0000, 0.2902)  0.05

Results
- spin magnetization (μB per atom) = 0.0552

---

The structure with the greatest stability is run Q.

---

Run P
Computed, not measured: TbHo2Si2 after structural relaxation at the PBE-GGA level of DFT.

abc: 4.1839 7.4929 7.4929
angles: 90.00 90.00 90.00
Element x y z (fractional)
Ho (0.0000, 0.1759, 0.1759)
Ho (0.0000, 0.3241, 0.6759)
Si (0.5000, 0.6160, 0.6160)
Ho (0.0000, 0.6759, 0.3241)
Ho (0.0000, 0.8241, 0.8241)
Si (0.5000, 0.8840, 0.1160)
Si (0.5000, 0.3840, 0.3840)
Tb (0.5000, 0.0000, 0.5000)
Si (0.5000, 0.1160, 0.8840)
Tb (0.5000, 0.5000, 0.0000)

Results
- spin magnetization (μB per atom) = 0.0000

---

Run Q
Computed, not measured: TbHo2Si2 after structural relaxation at the PBE-GGA level of DFT.

abc: 4.3198 6.4328 9.5105
angles: 77.57 76.87 70.38
Element x y z (fractional)
Si (0.1114, 0.3385, 0.4387)
Si (0.0291, 0.8409, 0.1009)
Si (0.8886, 0.6615, 0.5613)
Tb (0.7816, 0.0805, 0.3563)
Tb (0.2184, 0.9195, 0.6437)
Ho (0.3164, 0.2811, 0.0861)
Ho (0.5163, 0.6546, 0.3128)
Si (0.9709, 0.1591, 0.8991)
Ho (0.4837, 0.3454, 0.6872)
Ho (0.6836, 0.7189, 0.9139)

Results
- spin magnetization (μB per atom) = 0.0000

---

The structure with the greatest stability is run P.